A geometry-optimized Y3Fe7Co2 structure, computed with PBE-GGA.

a = 8.6260 Å, b = 8.6260 Å, c = 8.6260 Å
α = 34.13°, β = 34.13°, γ = 34.13°
Site moments in Bohr magnetons follow the coordinates.
Element x y z (fractional)
Co 0.3324 0.3324 0.3324  1.50
Co 0.6676 0.6676 0.6676  1.50
Fe 0.5805 0.5805 0.0825  2.20
Fe 0.9175 0.4195 0.4195  2.17
Fe 0.4195 0.9175 0.4195  2.28
Fe 0.5000 0.5000 0.5000  2.01
Fe 0.5805 0.0825 0.5805  2.28
Fe 0.0825 0.5805 0.5805  2.17
Fe 0.4195 0.4195 0.9175  2.20
Y 0.0000 0.0000 0.0000  -0.30
Y 0.1420 0.1420 0.1420  -0.45
Y 0.8580 0.8580 0.8580  -0.45

## Properties
Its space-group type is R-3m. Its energy of formation is -8.4 kJ per mole of atoms. The value obtained for the spin magnetization is 16.3 μB per formula unit. As for the density: 7.15 g/cm3. Its volume is 15.010 Å³/atom.

A geometry-optimized YFeCo structure, computed with PBE-GGA.

a = 6.8284 Å, b = 4.0846 Å, c = 7.2898 Å
α = 90.00°, β = 90.00°, γ = 90.00°
Site moments in Bohr magnetons follow the coordinates.
Element x y z (fractional)
Co 0.3434 0.2500 0.0720  1.40
Co 0.8434 0.2500 0.4280  1.39
Co 0.1566 0.7500 0.5720  1.39
Co 0.6566 0.7500 0.9280  1.40
Fe 0.6939 0.2500 0.0938  2.39
Fe 0.1939 0.2500 0.4062  2.37
Fe 0.8061 0.7500 0.5938  2.37
Fe 0.3061 0.7500 0.9062  2.39
Y 0.0018 0.7500 0.1919  -0.22
Y 0.5018 0.7500 0.3081  -0.22
Y 0.4982 0.2500 0.6919  -0.22
Y 0.9982 0.2500 0.8081  -0.22

## Properties
Its space-group type is Pnma. Its energy of formation is -5.7 kJ per mole of atoms. The value obtained for the spin magnetization is 3.4 μB per formula unit. As for the density: 6.65 g/cm3. Its volume is 16.943 Å³/atom.

A geometry-optimized YFeCo2 structure, computed with PBE-GGA.

a = 8.4113 Å, b = 8.4113 Å, c = 8.4113 Å
α = 35.20°, β = 35.20°, γ = 35.20°
Site moments in Bohr magnetons follow the coordinates.
Element x y z (fractional)
Co 0.5814 0.5814 0.0814  1.20
Co 0.9186 0.4186 0.4186  1.20
Co 0.4186 0.9186 0.4186  1.31
Co 0.5814 0.0814 0.5814  1.31
Co 0.0814 0.5814 0.5814  1.20
Co 0.4186 0.4186 0.9186  1.20
Fe 0.3330 0.3330 0.3330  2.49
Fe 0.5000 0.5000 0.5000  2.29
Fe 0.6670 0.6670 0.6670  2.49
Y 0.0000 0.0000 0.0000  -0.24
Y 0.1409 0.1409 0.1409  -0.31
Y 0.8591 0.8591 0.8591  -0.31

## Properties
Its space-group type is R-3m. Its energy of formation is -16.1 kJ per mole of atoms. The value obtained for the spin magnetization is 4.4 μB per formula unit. As for the density: 7.41 g/cm3. As for the distance to the lowest polymorph of the same formula: 0 meV per atom. Its volume is 14.719 Å³/atom.

Which formula does entry 2 have?
YFeCo

Which formula does entry 2 have?
YFeCo

Please write out number 3 again, unchanged.
A geometry-optimized YFeCo2 structure, computed with PBE-GGA.

a = 8.4113 Å, b = 8.4113 Å, c = 8.4113 Å
α = 35.20°, β = 35.20°, γ = 35.20°
Site moments in Bohr magnetons follow the coordinates.
Element x y z (fractional)
Co 0.5814 0.5814 0.0814  1.20
Co 0.9186 0.4186 0.4186  1.20
Co 0.4186 0.9186 0.4186  1.31
Co 0.5814 0.0814 0.5814  1.31
Co 0.0814 0.5814 0.5814  1.20
Co 0.4186 0.4186 0.9186  1.20
Fe 0.3330 0.3330 0.3330  2.49
Fe 0.5000 0.5000 0.5000  2.29
Fe 0.6670 0.6670 0.6670  2.49
Y 0.0000 0.0000 0.0000  -0.24
Y 0.1409 0.1409 0.1409  -0.31
Y 0.8591 0.8591 0.8591  -0.31

## Properties
Its space-group type is R-3m. Its energy of formation is -16.1 kJ per mole of atoms. The value obtained for the spin magnetization is 4.4 μB per formula unit. As for the density: 7.41 g/cm3. As for the distance to the lowest polymorph of the same formula: 0 meV per atom. Its volume is 14.719 Å³/atom.